A plane-wave DFT calculation with PBE was carried out for crystalline CdPt4 at its relaxed geometry.

Calculated values
V: 18.38 Å³ per atom
calculated total energy: -4.917 eV per atom
excess energy over the best structure of this formula in the dataset: 0.229 eV/atom
ΔE_f: 0.49 eV per formula unit
space group: I4/mmm, No. 139

Structure (POSCAR):
```
CdPt4
1.0
-1.883 1.883 6.478
1.883 -1.883 6.478
1.883 1.883 -6.478
Cd Pt
1 4
Direct
0.000 0.000 0.000
0.250 0.750 0.500
0.402 0.402 0.000
0.598 0.598 0.000
0.750 0.250 0.500
```